No. 1
Compound: AcHoCdHg
Source: the Alexandria database
Functional: GGA-PBE
Structure: optimized geometry

```
data_AcHoCdHg
_chemical_formula_sum 'Ac1 Ho1 Cd1 Hg1'
_symmetry_space_group_name_H-M 'P 1'
_symmetry_Int_Tables_number 1
_symmetry_space_group_name_Hall 'P 1'
_cell_length_a 5.5284
_cell_length_b 5.5284
_cell_length_c 5.5284
_cell_angle_alpha 60.00
_cell_angle_beta 60.00
_cell_angle_gamma 60.00
loop_
_atom_site_label
_atom_site_fract_x
_atom_site_fract_y
_atom_site_fract_z
_atom_site_occupancy
Hg1 0.7500 0.7500 0.7500 1
Cd1 0.2500 0.2500 0.2500 1
Ho1 0.5000 0.5000 0.5000 1
Ac1 0.0000 0.0000 0.0000 1
```

Values from the calculation:
VASP energy   -2.81 eV/atom
Energy of formation from the pure elements   -330 meV per atom
Offset from the most stable computed form   0.0428 eV/atom

No. 2
Compound: Ti3RhBr
Source: the Alexandria database
Functional: GGA-PBE
Structure: optimized geometry

```
data_Ti3RhBr
_chemical_formula_sum 'Ti3 Rh1 Br1'
_symmetry_space_group_name_H-M 'P 1'
_symmetry_Int_Tables_number 1
_symmetry_space_group_name_Hall 'P 1'
_cell_length_a 4.8232
_cell_length_b 4.8232
_cell_length_c 4.8232
_cell_angle_alpha 90.00
_cell_angle_beta 90.00
_cell_angle_gamma 90.00
loop_
_atom_site_label
_atom_site_fract_x
_atom_site_fract_y
_atom_site_fract_z
_atom_site_occupancy
Ti1 0.0000 0.0000 0.5000 1
Rh1 0.0000 0.0000 0.0000 1
Ti2 0.0000 0.5000 0.0000 1
Ti3 0.5000 0.0000 0.0000 1
Br1 0.5000 0.5000 0.5000 1
```

Values from the calculation:
VASP energy   -6.21 eV/atom
Formation energy (no corrections)   0.33 eV/atom
Offset from the most stable computed form   0.0000 eV/atom

No. 3
Compound: AuS2ClO
Source: the Alexandria database
Functional: GGA-PBE
Structure: optimized geometry

```
data_AuS2ClO
_chemical_formula_sum 'Au1 S2 Cl1 O1'
_symmetry_space_group_name_H-M 'P 1'
_symmetry_Int_Tables_number 1
_symmetry_space_group_name_Hall 'P 1'
_cell_length_a 4.2560
_cell_length_b 4.2560
_cell_length_c 4.6429
_cell_angle_alpha 90.00
_cell_angle_beta 90.00
_cell_angle_gamma 90.00
loop_
_atom_site_label
_atom_site_fract_x
_atom_site_fract_y
_atom_site_fract_z
_atom_site_occupancy
S1 0.0000 0.5000 0.0000 1
O1 0.0000 0.0000 0.0000 1
Au1 0.5000 0.5000 0.5000 1
S2 0.5000 0.0000 0.0000 1
Cl1 0.0000 0.0000 0.5000 1
```

Values from the calculation:
VASP energy   -2.70 eV/atom
Formation energy (no corrections)   0.97 eV/atom
Offset from the most stable computed form   0.0000 eV/atom

No. 4
Compound: ZrNbMo
Source: the Alexandria database
Functional: GGA-PBE
Structure: optimized geometry

```
data_ZrNbMo
_chemical_formula_sum 'Zr1 Nb1 Mo1'
_symmetry_space_group_name_H-M 'P 1'
_symmetry_Int_Tables_number 1
_symmetry_space_group_name_Hall 'P 1'
_cell_length_a 3.0313
_cell_length_b 4.6093
_cell_length_c 4.6093
_cell_angle_alpha 120.00
_cell_angle_beta 90.00
_cell_angle_gamma 90.00
loop_
_atom_site_label
_atom_site_fract_x
_atom_site_fract_y
_atom_site_fract_z
_atom_site_occupancy
Nb1 0.6326 0.3333 0.6667 1
Mo1 0.3511 0.6667 0.3333 1
Zr1 0.0163 0.0000 0.0000 1
```

Values from the calculation:
VASP energy   -9.81 eV/atom
Energy of formation from the pure elements   5 meV per atom
Offset from the most stable computed form   0.0941 eV/atom

No. 5
Compound: SmHo4Pb5
Source: the Alexandria database
Functional: GGA-PBE
Structure: optimized geometry

```
data_SmHo4Pb5
_chemical_formula_sum 'Sm1 Ho4 Pb5'
_symmetry_space_group_name_H-M 'P 1'
_symmetry_Int_Tables_number 1
_symmetry_space_group_name_Hall 'P 1'
_cell_length_a 6.2986
_cell_length_b 7.7141
_cell_length_c 7.7141
_cell_angle_alpha 80.41
_cell_angle_beta 65.90
_cell_angle_gamma 65.90
loop_
_atom_site_label
_atom_site_fract_x
_atom_site_fract_y
_atom_site_fract_z
_atom_site_occupancy
Pb1 0.5034 0.0000 0.0000 1
Sm1 0.0031 0.0000 0.0000 1
Pb2 0.6962 0.2050 0.4035 1
Ho1 0.3980 0.4010 0.8040 1
Ho2 0.2020 0.1960 0.4010 1
Ho3 0.7990 0.8040 0.5990 1
Pb3 0.9012 0.4035 0.7950 1
Ho4 0.6030 0.5990 0.1960 1
Pb4 0.3047 0.7950 0.5965 1
Pb5 0.0996 0.5965 0.2050 1
```

Values from the calculation:
VASP energy   -4.48 eV/atom
Energy of formation from the pure elements   -324 meV per atom

No. 6
Compound: LiP2IrOs
Source: the Alexandria database
Functional: GGA-PBE
Structure: optimized geometry

```
data_LiP2IrOs
_chemical_formula_sum 'Li1 P2 Ir1 Os1'
_symmetry_space_group_name_H-M 'P 1'
_symmetry_Int_Tables_number 1
_symmetry_space_group_name_Hall 'P 1'
_cell_length_a 4.0427
_cell_length_b 4.0427
_cell_length_c 5.4349
_cell_angle_alpha 111.83
_cell_angle_beta 111.83
_cell_angle_gamma 90.00
loop_
_atom_site_label
_atom_site_fract_x
_atom_site_fract_y
_atom_site_fract_z
_atom_site_occupancy
P1 0.6220 0.6220 0.2440 1
P2 0.3780 0.3780 0.7560 1
Li1 0.0000 0.0000 0.0000 1
Ir1 0.2500 0.7500 0.5000 1
Os1 0.7500 0.2500 0.5000 1
```

Values from the calculation:
VASP energy   -7.07 eV/atom
Energy of formation from the pure elements   -510 meV per atom

No. 7
Compound: AgPbCl2
Source: the Alexandria database
Functional: GGA-PBE
Structure: optimized geometry

```
data_AgPbCl2
_chemical_formula_sum 'Ag1 Pb1 Cl2'
_symmetry_space_group_name_H-M 'P 1'
_symmetry_Int_Tables_number 1
_symmetry_space_group_name_Hall 'P 1'
_cell_length_a 6.1529
_cell_length_b 6.1529
_cell_length_c 6.1529
_cell_angle_alpha 141.24
_cell_angle_beta 132.39
_cell_angle_gamma 63.01
loop_
_atom_site_label
_atom_site_fract_x
_atom_site_fract_y
_atom_site_fract_z
_atom_site_occupancy
Cl1 0.0802 0.0802 0.0000 1
Cl2 0.4198 0.4198 0.0000 1
Pb1 0.7500 0.2500 0.5000 1
Ag1 0.2500 0.7500 0.5000 1
```

Values from the calculation:
VASP energy   -3.02 eV/atom
Formation energy (no corrections)   -0.46 eV/atom
Offset from the most stable computed form   0.0404 eV/atom

No. 8
Compound: La2ZnSi4Ir3
Source: the Alexandria database
Functional: GGA-PBE
Structure: optimized geometry

```
data_La2ZnSi4Ir3
_chemical_formula_sum 'La2 Zn1 Si4 Ir3'
_symmetry_space_group_name_H-M 'P 1'
_symmetry_Int_Tables_number 1
_symmetry_space_group_name_Hall 'P 1'
_cell_length_a 4.2503
_cell_length_b 4.2503
_cell_length_c 10.0380
_cell_angle_alpha 90.00
_cell_angle_beta 90.00
_cell_angle_gamma 90.00
loop_
_atom_site_label
_atom_site_fract_x
_atom_site_fract_y
_atom_site_fract_z
_atom_site_occupancy
Si1 0.5000 0.0000 0.6366 1
Ir1 0.5000 0.0000 0.8783 1
La1 0.0000 0.5000 0.7562 1
Zn1 0.5000 0.5000 0.5000 1
Si2 0.0000 0.0000 0.0000 1
Si3 0.0000 0.5000 0.3634 1
Ir2 0.0000 0.5000 0.1217 1
Ir3 0.0000 0.0000 0.5000 1
Si4 0.5000 0.5000 0.0000 1
La2 0.5000 0.0000 0.2438 1
```

Values from the calculation:
VASP energy   -6.81 eV/atom
Formation energy (no corrections)   -0.87 eV/atom

No. 9
Compound: NiC2
Source: the Alexandria database
Functional: GGA-PBE
Structure: optimized geometry

```
data_NiC2
_chemical_formula_sum 'Ni2 C4'
_symmetry_space_group_name_H-M 'P 1'
_symmetry_Int_Tables_number 1
_symmetry_space_group_name_Hall 'P 1'
_cell_length_a 7.5248
_cell_length_b 2.5154
_cell_length_c 2.5757
_cell_angle_alpha 90.00
_cell_angle_beta 90.00
_cell_angle_gamma 90.00
loop_
_atom_site_label
_atom_site_fract_x
_atom_site_fract_y
_atom_site_fract_z
_atom_site_occupancy
Ni1 0.0000 0.0000 0.0000 1
C1 0.7968 0.0000 0.5000 1
C2 0.2968 0.5000 0.5000 1
Ni2 0.5000 0.5000 0.0000 1
C3 0.2032 0.0000 0.5000 1
C4 0.7032 0.5000 0.5000 1
```

Values from the calculation:
VASP energy   -7.49 eV/atom
Energy of formation from the pure elements   582 meV per atom
Offset from the most stable computed form   0.1630 eV/atom

No. 10
Compound: Na4SrCa
Source: the Alexandria database
Functional: GGA-PBE
Structure: optimized geometry

```
data_Na4SrCa
_chemical_formula_sum 'Na4 Sr1 Ca1'
_symmetry_space_group_name_H-M 'P 1'
_symmetry_Int_Tables_number 1
_symmetry_space_group_name_Hall 'P 1'
_cell_length_a 6.9864
_cell_length_b 6.9864
_cell_length_c 6.9864
_cell_angle_alpha 60.00
_cell_angle_beta 60.00
_cell_angle_gamma 60.00
loop_
_atom_site_label
_atom_site_fract_x
_atom_site_fract_y
_atom_site_fract_z
_atom_site_occupancy
Na1 0.1239 0.6254 0.6254 1
Ca1 0.0000 0.0000 0.0000 1
Sr1 0.2500 0.2500 0.2500 1
Na2 0.6254 0.6254 0.6254 1
Na3 0.6254 0.6254 0.1239 1
Na4 0.6254 0.1239 0.6254 1
```

Values from the calculation:
VASP energy   -1.46 eV/atom
Energy of formation from the pure elements   33 meV per atom

No. 11
Compound: MgCd3N
Source: the Alexandria database
Functional: GGA-PBE
Structure: optimized geometry

```
data_MgCd3N
_chemical_formula_sum 'Mg1 Cd3 N1'
_symmetry_space_group_name_H-M 'P 1'
_symmetry_Int_Tables_number 1
_symmetry_space_group_name_Hall 'P 1'
_cell_length_a 5.3285
_cell_length_b 5.3285
_cell_length_c 5.3285
_cell_angle_alpha 90.00
_cell_angle_beta 90.00
_cell_angle_gamma 90.00
loop_
_atom_site_label
_atom_site_fract_x
_atom_site_fract_y
_atom_site_fract_z
_atom_site_occupancy
Cd1 0.0000 0.0000 0.5000 1
N1 0.5000 0.5000 0.5000 1
Mg1 0.0000 0.0000 0.0000 1
Cd2 0.5000 0.0000 0.0000 1
Cd3 0.0000 0.5000 0.0000 1
```

Values from the calculation:
VASP energy   -0.98 eV/atom
Formation energy (no corrections)   1.55 eV/atom
Offset from the most stable computed form   1.0580 eV/atom

No. 12
Compound: Zr2ScAg2
Source: the Alexandria database
Functional: GGA-PBE
Structure: optimized geometry

```
data_Zr2ScAg2
_chemical_formula_sum 'Zr4 Sc2 Ag4'
_symmetry_space_group_name_H-M 'P 1'
_symmetry_Int_Tables_number 1
_symmetry_space_group_name_Hall 'P 1'
_cell_length_a 8.0616
_cell_length_b 8.0616
_cell_length_c 3.3131
_cell_angle_alpha 90.00
_cell_angle_beta 90.00
_cell_angle_gamma 90.00
loop_
_atom_site_label
_atom_site_fract_x
_atom_site_fract_y
_atom_site_fract_z
_atom_site_occupancy
Sc1 0.5000 0.5000 0.0000 1
Ag1 0.6238 0.1238 0.0000 1
Zr1 0.6738 0.8262 0.5000 1
Zr2 0.3262 0.1738 0.5000 1
Zr3 0.8262 0.3262 0.5000 1
Ag2 0.1238 0.3762 0.0000 1
Ag3 0.3762 0.8762 0.0000 1
Sc2 0.0000 0.0000 0.0000 1
Zr4 0.1738 0.6738 0.5000 1
Ag4 0.8762 0.6238 0.0000 1
```

Values from the calculation:
VASP energy   -5.79 eV/atom
Energy of formation from the pure elements   31 meV per atom
Offset from the most stable computed form   0.0000 eV/atom